1.
# KTlIrCl6, relaxed, DFT PBE
# Energy relative to the elements, uncorrected = -912 meV/atom
# Magnetic moment = 1.06 μB/f.u.
data_KTlIrCl6
_chemical_formula_sum 'K2 Tl2 Ir2 Cl12'
_space_group_name_H-M_alt 'P -3 1 c'
_space_group_IT_number 163
_space_group_name_Hall '-P 3 2c'
_cell_length_a 7.5195
_cell_length_b 7.5195
_cell_length_c 11.5475
_cell_angle_alpha 90.00
_cell_angle_beta 90.00
_cell_angle_gamma 120.00
loop_
_atom_site_label
_atom_site_type_symbol
_atom_site_fract_x
_atom_site_fract_y
_atom_site_fract_z
K1 K 0.3333 0.6667 0.2500
Tl1 Tl 0.0000 0.0000 0.0000
Ir1 Ir 0.3333 0.6667 0.7500
Cl1 Cl 0.0787 0.4130 0.6318


2.
# Sc2AlBi, relaxed, DFT PBE
# Magnetic moment = 0.00 μB/f.u.
# E_form = -0.056 eV/atom
data_Sc2AlBi
_chemical_formula_sum 'Sc6 Al3 Bi3'
_space_group_name_H-M_alt 'R -3 m'
_space_group_IT_number 166
_space_group_name_Hall '-R 3 2"'
_cell_length_a 3.4062
_cell_length_b 3.4062
_cell_length_c 30.4390
_cell_angle_alpha 90.00
_cell_angle_beta 90.00
_cell_angle_gamma 120.00
loop_
_atom_site_label
_atom_site_type_symbol
_atom_site_fract_x
_atom_site_fract_y
_atom_site_fract_z
Sc1 Sc 0.0000 0.0000 0.0979
Al1 Al 0.0000 0.0000 0.5000
Bi1 Bi 0.0000 0.0000 0.0000


3.
# YHg2P, relaxed, DFT PBE
# Magnetic moment = 0.00 μB/f.u.
# E_form = -0.440 eV/atom
data_YHg2P
_chemical_formula_sum 'Y1 Hg2 P1'
_space_group_name_H-M_alt 'P 4 m m'
_space_group_IT_number 99
_cell_length_a 3.891
_cell_length_b 3.891
_cell_length_c 6.492
_cell_angle_alpha 90.00
_cell_angle_beta 90.00
_cell_angle_gamma 90.00
loop_
_space_group_symop_operation_xyz
'x,y,z'
'-y,x,z'
'-x,-y,z'
'y,-x,z'
'-x,y,z'
'y,x,z'
'x,-y,z'
'-y,-x,z'
loop_
_atom_site_label
_atom_site_type_symbol
_atom_site_fract_x
_atom_site_fract_y
_atom_site_fract_z
Y1 Y 0.000 0.000 0.000
Hg1 Hg 0.000 0.000 0.523
Hg2 Hg 0.500 0.500 0.334
P1 P 0.500 0.500 0.901


4.
# TlZnHgH2, relaxed, DFT PBE
# Magnetic moment = 0.00 μB/f.u.
# Offset from the most stable computed form = 0 meV per atom
data_TlZnHgH2
_chemical_formula_sum 'Tl1 Zn1 Hg1 H2'
_space_group_name_H-M_alt 'P 4/m m m'
_space_group_IT_number 123
_space_group_name_Hall '-P 4 2'
_cell_length_a 3.946
_cell_length_b 3.946
_cell_length_c 5.960
_cell_angle_alpha 90.00
_cell_angle_beta 90.00
_cell_angle_gamma 90.00
loop_
_atom_site_label
_atom_site_type_symbol
_atom_site_fract_x
_atom_site_fract_y
_atom_site_fract_z
Tl1 Tl 0.000 0.000 0.000
Zn1 Zn 0.000 0.000 0.500
Hg1 Hg 0.500 0.500 0.500
H1 H 0.000 0.500 0.000


5.
# VHgSe3, relaxed, DFT PBE
# Energy relative to the elements, uncorrected = -51 meV/atom
# Magnetic moment = 0.00 μB/f.u.
# Offset from the most stable computed form = 216 meV per atom
data_VHgSe3
_chemical_formula_sum 'V1 Hg1 Se3'
_space_group_name_H-M_alt 'P m -3 m'
_space_group_IT_number 221
_space_group_name_Hall '-P 4 2 3'
_cell_length_a 4.879
_cell_length_b 4.879
_cell_length_c 4.879
_cell_angle_alpha 90.00
_cell_angle_beta 90.00
_cell_angle_gamma 90.00
loop_
_atom_site_label
_atom_site_type_symbol
_atom_site_fract_x
_atom_site_fract_y
_atom_site_fract_z
V1 V 0.000 0.000 0.000
Hg1 Hg 0.500 0.500 0.500
Se1 Se 0.000 0.000 0.500


6.
# Li2Ag2Hg3, relaxed, DFT PBE
# Magnetic moment = 0.00 μB/f.u.
# E_form = -0.151 eV/atom
# Offset from the most stable computed form = 0 meV per atom
data_Li2Ag2Hg3
_chemical_formula_sum 'Li4 Ag4 Hg6'
_space_group_name_H-M_alt 'C 1 2/m 1'
_space_group_IT_number 12
_cell_length_a 10.178
_cell_length_b 3.971
_cell_length_c 6.864
_cell_angle_alpha 90.00
_cell_angle_beta 97.85
_cell_angle_gamma 90.00
loop_
_space_group_symop_operation_xyz
'x,y,z'
'-x,-y,-z'
'-x,y,-z'
'x,-y,z'
'x+1/2,y+1/2,z'
'-x+1/2,-y+1/2,-z'
'-x+1/2,y+1/2,-z'
'x+1/2,-y+1/2,z'
loop_
_atom_site_label
_atom_site_type_symbol
_atom_site_fract_x
_atom_site_fract_y
_atom_site_fract_z
Li1 Li 0.133 0.000 0.427
Ag1 Ag 0.065 0.500 0.696
Hg1 Hg 0.000 0.000 0.000
Hg2 Hg 0.222 0.500 0.189


7.
# NaCa2ReN4, relaxed, DFT PBE
# Energy relative to the elements, uncorrected = -761 meV/atom
# Magnetic moment = 0.00 μB/f.u.
data_NaCa2ReN4
_chemical_formula_sum 'Na2 Ca4 Re2 N8'
_space_group_name_H-M_alt 'P m n 21'
_space_group_IT_number 31
_cell_length_a 7.809
_cell_length_b 6.269
_cell_length_c 5.545
_cell_angle_alpha 90.00
_cell_angle_beta 90.00
_cell_angle_gamma 90.00
loop_
_space_group_symop_operation_xyz
'x,y,z'
'-x+1/2,-y,z+1/2'
'-x,y,z'
'x+1/2,-y,z+1/2'
loop_
_atom_site_label
_atom_site_type_symbol
_atom_site_fract_x
_atom_site_fract_y
_atom_site_fract_z
Na1 Na 0.000 0.165 0.000
Ca1 Ca 0.245 0.311 0.502
Re1 Re 0.000 0.818 0.528
N1 N 0.000 0.100 0.437
N2 N 0.000 0.811 0.856
N3 N 0.198 0.681 0.430


8.
# AcNdPb4, relaxed, DFT PBE
# Magnetic moment = 0.78 μB/f.u.
# E_form = -0.247 eV/atom
# Offset from the most stable computed form = 134 meV per atom
data_AcNdPb4
_chemical_formula_sum 'Ac4 Nd4 Pb16'
_space_group_name_H-M_alt 'F -4 3 m'
_space_group_IT_number 216
_space_group_name_Hall 'F -4 2 3'
_cell_length_a 9.270
_cell_length_b 9.270
_cell_length_c 9.270
_cell_angle_alpha 90.00
_cell_angle_beta 90.00
_cell_angle_gamma 90.00
loop_
_atom_site_label
_atom_site_type_symbol
_atom_site_fract_x
_atom_site_fract_y
_atom_site_fract_z
Ac1 Ac 0.000 0.000 0.000
Nd1 Nd 0.250 0.250 0.250
Pb1 Pb 0.125 0.125 0.625


9.
# Pr2Tm5Th4, relaxed, DFT PBE
# Magnetic moment = 0.00 μB/f.u.
# E_form = 0.035 eV/atom
data_Pr2Tm5Th4
_chemical_formula_sum 'Pr4 Tm10 Th8'
_space_group_name_H-M_alt 'C 1 2/m 1'
_space_group_IT_number 12
_cell_length_a 23.489
_cell_length_b 3.576
_cell_length_c 8.685
_cell_angle_alpha 90.00
_cell_angle_beta 105.19
_cell_angle_gamma 90.00
loop_
_space_group_symop_operation_xyz
'x,y,z'
'-x,-y,-z'
'-x,y,-z'
'x,-y,z'
'x+1/2,y+1/2,z'
'-x+1/2,-y+1/2,-z'
'-x+1/2,y+1/2,-z'
'x+1/2,-y+1/2,z'
loop_
_atom_site_label
_atom_site_type_symbol
_atom_site_fract_x
_atom_site_fract_y
_atom_site_fract_z
Pr1 Pr 0.228 0.000 0.317
Tm1 Tm 0.000 0.500 0.500
Tm2 Tm 0.087 0.500 0.221
Tm3 Tm 0.178 0.500 0.942
Th1 Th 0.045 0.000 0.863
Th2 Th 0.133 0.000 0.589


10.
# Sr2NdAs3Pd4, relaxed, DFT PBE
# Magnetic moment = 0.00 μB/f.u.
# E_form = -0.837 eV/atom
data_Sr2NdAs3Pd4
_chemical_formula_sum 'Sr2 Nd1 As3 Pd4'
_space_group_name_H-M_alt 'P -4 m 2'
_space_group_IT_number 115
_cell_length_a 4.376
_cell_length_b 4.376
_cell_length_c 11.594
_cell_angle_alpha 90.00
_cell_angle_beta 90.00
_cell_angle_gamma 90.00
loop_
_space_group_symop_operation_xyz
'x,y,z'
'y,-x,-z'
'-x,-y,z'
'-y,x,-z'
'-x,y,z'
'-y,-x,-z'
'x,-y,z'
'y,x,-z'
loop_
_atom_site_label
_atom_site_type_symbol
_atom_site_fract_x
_atom_site_fract_y
_atom_site_fract_z
Sr1 Sr 0.000 0.500 0.217
Nd1 Nd 0.000 0.000 0.500
As1 As 0.000 0.500 0.878
As2 As 0.500 0.500 0.500
Pd1 Pd 0.000 0.000 0.000
Pd2 Pd 0.000 0.500 0.662
Pd3 Pd 0.500 0.500 0.000


11.
# Ag3As, relaxed, DFT PBE
# Magnetic moment = 0.00 μB/f.u.
# E_form = 0.103 eV/atom
data_Ag3As
_chemical_formula_sum 'Ag6 As2'
_space_group_name_H-M_alt 'P 63/m m c'
_space_group_IT_number 194
_space_group_name_Hall '-P 6c 2c'
_cell_length_a 5.9403
_cell_length_b 5.9403
_cell_length_c 4.7784
_cell_angle_alpha 90.00
_cell_angle_beta 90.00
_cell_angle_gamma 120.00
loop_
_atom_site_label
_atom_site_type_symbol
_atom_site_fract_x
_atom_site_fract_y
_atom_site_fract_z
Ag1 Ag 0.1662 0.3325 0.2500
As1 As 0.3333 0.6667 0.7500


12.
# Rb2AlV, relaxed, DFT PBE
# Magnetic moment = 3.73 μB/f.u.
# E_form = 0.941 eV/atom
data_Rb2AlV
_chemical_formula_sum 'Rb8 Al4 V4'
_space_group_name_H-M_alt 'I -4 2 d'
_space_group_IT_number 122
_space_group_name_Hall 'I -4 2bw'
_cell_length_a 13.145
_cell_length_b 13.145
_cell_length_c 5.180
_cell_angle_alpha 90.00
_cell_angle_beta 90.00
_cell_angle_gamma 90.00
loop_
_atom_site_label
_atom_site_type_symbol
_atom_site_fract_x
_atom_site_fract_y
_atom_site_fract_z
Rb1 Rb 0.076 0.750 0.125
Al1 Al 0.000 0.000 0.500
V1 V 0.000 0.000 0.000


13.
# Rb6HgAu2, relaxed, DFT PBE
# Magnetic moment = 0.00 μB/f.u.
# E_form = -0.185 eV/atom
data_Rb6HgAu2
_chemical_formula_sum 'Rb24 Hg4 Au8'
_space_group_name_H-M_alt 'I m m m'
_space_group_IT_number 71
_space_group_name_Hall '-I 2 2'
_cell_length_a 11.832
_cell_length_b 11.904
_cell_length_c 12.904
_cell_angle_alpha 90.00
_cell_angle_beta 90.00
_cell_angle_gamma 90.00
loop_
_atom_site_label
_atom_site_type_symbol
_atom_site_fract_x
_atom_site_fract_y
_atom_site_fract_z
Rb1 Rb 0.000 0.203 0.234
Rb2 Rb 0.190 0.500 0.171
Rb3 Rb 0.212 0.321 0.500
Hg1 Hg 0.000 0.000 0.000
Hg2 Hg 0.000 0.000 0.500
Au1 Au 0.000 0.370 0.000
Au2 Au 0.000 0.500 0.388


14.
# CaSI2Br, relaxed, DFT PBE
# Energy relative to the elements, uncorrected = 39 meV/atom
# Magnetic moment = 1.53 μB/f.u.
data_CaSI2Br
_chemical_formula_sum 'Ca1 S1 I2 Br1'
_space_group_name_H-M_alt 'P 4/m m m'
_space_group_IT_number 123
_space_group_name_Hall '-P 4 2'
_cell_length_a 6.093
_cell_length_b 6.093
_cell_length_c 5.535
_cell_angle_alpha 90.00
_cell_angle_beta 90.00
_cell_angle_gamma 90.00
loop_
_atom_site_label
_atom_site_type_symbol
_atom_site_fract_x
_atom_site_fract_y
_atom_site_fract_z
Ca1 Ca 0.000 0.000 0.000
S1 S 0.500 0.500 0.000
I1 I 0.000 0.500 0.500
Br1 Br 0.000 0.000 0.500


15.
# PmZnCdCu, relaxed, DFT PBE
# Magnetic moment = 0.00 μB/f.u.
# E_form = -0.267 eV/atom
data_PmZnCdCu
_chemical_formula_sum 'Pm4 Zn4 Cd4 Cu4'
_space_group_name_H-M_alt 'F -4 3 m'
_space_group_IT_number 216
_space_group_name_Hall 'F -4 2 3'
_cell_length_a 6.832
_cell_length_b 6.832
_cell_length_c 6.832
_cell_angle_alpha 90.00
_cell_angle_beta 90.00
_cell_angle_gamma 90.00
loop_
_atom_site_label
_atom_site_type_symbol
_atom_site_fract_x
_atom_site_fract_y
_atom_site_fract_z
Pm1 Pm 0.000 0.000 0.000
Zn1 Zn 0.250 0.250 0.250
Cd1 Cd 0.000 0.000 0.500
Cu1 Cu 0.250 0.250 0.750


16.
# NaSn4I8, relaxed, DFT PBE
# Energy relative to the elements, uncorrected = -503 meV/atom
# Magnetic moment = 0.00 μB/f.u.
data_NaSn4I8
_chemical_formula_sum 'Na1 Sn4 I8'
_space_group_name_H-M_alt 'P -1'
_space_group_IT_number 2
_cell_length_a 9.115
_cell_length_b 9.149
_cell_length_c 9.175
_cell_angle_alpha 62.71
_cell_angle_beta 62.53
_cell_angle_gamma 62.28
loop_
_space_group_symop_operation_xyz
'x,y,z'
'-x,-y,-z'
loop_
_atom_site_label
_atom_site_type_symbol
_atom_site_fract_x
_atom_site_fract_y
_atom_site_fract_z
Na1 Na 0.000 0.000 0.000
Sn1 Sn 0.000 0.000 0.500
Sn2 Sn 0.000 0.500 0.000
Sn3 Sn 0.500 0.000 0.000
Sn4 Sn 0.500 0.500 0.500
I1 I 0.245 0.245 0.245
I2 I 0.246 0.747 0.747
I3 I 0.252 0.252 0.755
I4 I 0.252 0.755 0.252


17.
# I4Br3, relaxed, DFT PBE
# Energy relative to the elements, uncorrected = 49 meV/atom
# Magnetic moment = 0.00 μB/f.u.
data_I4Br3
_chemical_formula_sum 'I8 Br6'
_space_group_name_H-M_alt 'C 1 m 1'
_space_group_IT_number 8
_cell_length_a 13.502
_cell_length_b 7.709
_cell_length_c 8.147
_cell_angle_alpha 90.00
_cell_angle_beta 117.70
_cell_angle_gamma 90.00
loop_
_space_group_symop_operation_xyz
'x,y,z'
'x,-y,z'
'x+1/2,y+1/2,z'
'x+1/2,-y+1/2,z'
loop_
_atom_site_label
_atom_site_type_symbol
_atom_site_fract_x
_atom_site_fract_y
_atom_site_fract_z
I1 I 0.000 0.000 0.000
I2 I 0.090 0.500 0.458
I3 I 0.213 0.000 0.991
I4 I 0.308 0.000 0.742
Br1 Br 0.002 0.500 0.701
Br2 Br 0.267 0.500 0.398
Br3 Br 0.393 0.500 0.207


18.
# LiZr3S6, relaxed, DFT PBE
# Energy relative to the elements, uncorrected = -1453 meV/atom
# Magnetic moment = 0.00 μB/f.u.
data_LiZr3S6
_chemical_formula_sum 'Li4 Zr12 S24'
_space_group_name_H-M_alt 'C m c 21'
_space_group_IT_number 36
_cell_length_a 10.067
_cell_length_b 12.396
_cell_length_c 6.332
_cell_angle_alpha 90.00
_cell_angle_beta 90.00
_cell_angle_gamma 90.00
loop_
_space_group_symop_operation_xyz
'x,y,z'
'-x,-y,z+1/2'
'-x,y,z'
'x,-y,z+1/2'
'x+1/2,y+1/2,z'
'-x+1/2,-y+1/2,z+1/2'
'-x+1/2,y+1/2,z'
'x+1/2,-y+1/2,z+1/2'
loop_
_atom_site_label
_atom_site_type_symbol
_atom_site_fract_x
_atom_site_fract_y
_atom_site_fract_z
Li1 Li 0.000 0.201 0.000
Zr1 Zr 0.000 0.398 0.367
Zr2 Zr 0.171 0.101 0.480
S1 S 0.000 0.029 0.183
S2 S 0.000 0.232 0.632
S3 S 0.164 0.466 0.671
S4 S 0.177 0.274 0.213


19.
# RbIn3Au3, relaxed, DFT PBE
# Magnetic moment = 0.00 μB/f.u.
# E_form = -0.161 eV/atom
# Offset from the most stable computed form = 35 meV per atom
data_RbIn3Au3
_chemical_formula_sum 'Rb2 In6 Au6'
_space_group_name_H-M_alt 'P m -3 n'
_space_group_IT_number 223
_space_group_name_Hall '-P 4n 2 3'
_cell_length_a 7.734
_cell_length_b 7.734
_cell_length_c 7.734
_cell_angle_alpha 90.00
_cell_angle_beta 90.00
_cell_angle_gamma 90.00
loop_
_atom_site_label
_atom_site_type_symbol
_atom_site_fract_x
_atom_site_fract_y
_atom_site_fract_z
Rb1 Rb 0.000 0.000 0.000
In1 In 0.000 0.250 0.500
Au1 Au 0.000 0.500 0.250


20.
# LaSc2Bi2, relaxed, DFT PBE
# Magnetic moment = 2.70 μB/f.u.
# E_form = -0.388 eV/atom
# Offset from the most stable computed form = 215 meV per atom
data_LaSc2Bi2
_chemical_formula_sum 'La2 Sc4 Bi4'
_space_group_name_H-M_alt 'I 4/m m m'
_space_group_IT_number 139
_space_group_name_Hall '-I 4 2'
_cell_length_a 5.637
_cell_length_b 5.637
_cell_length_c 9.732
_cell_angle_alpha 90.00
_cell_angle_beta 90.00
_cell_angle_gamma 90.00
loop_
_atom_site_label
_atom_site_type_symbol
_atom_site_fract_x
_atom_site_fract_y
_atom_site_fract_z
La1 La 0.000 0.000 0.000
Sc1 Sc 0.000 0.000 0.341
Bi1 Bi 0.000 0.500 0.250